DFT (GGA-PBEsol) results for crystalline CuSiIr2 at its relaxed geometry.

The space group is I-4m2 (No. 119) and the conventional cell measures 3.670, 3.670 and 7.744 Å, with angles of 90.00, 90.00 and 90.00 degrees. The inequivalent atoms are Cu at (0.000, 0.000, 0.000), Si at (0.000, 0.500, 0.750), Ir at (0.000, 0.000, 0.500) and Ir at (0.000, 0.500, 0.250).

The crystal system is tetragonal. The calculation puts the total energy at -29.9 eV per formula unit. The value obtained for the formation energy from raw total energies is -0.05 eV per atom.

DFT (GGA-PBEsol) results for crystalline CuSiIr at its relaxed geometry.

The space group is F-43m (No. 216) and the conventional cell measures 5.512, 5.512 and 5.512 Å, with angles of 90.00, 90.00 and 90.00 degrees. The inequivalent atoms are Cu at (0.000, 0.000, 0.000), Si at (0.250, 0.250, 0.750) and Ir at (0.000, 0.000, 0.500).

The crystal system is cubic. The calculation puts the total energy at -20.9 eV per formula unit. The value obtained for the formation energy from raw total energies is -0.34 eV per atom.

DFT (GGA-PBEsol) results for crystalline CuSiIr2 at its relaxed geometry.

The space group is P4/mmm (No. 123) and the conventional cell measures 2.897, 2.897 and 6.093 Å, with angles of 90.00, 90.00 and 90.00 degrees. The inequivalent atoms are Cu at (0.000, 0.000, 0.000), Si at (0.000, 0.000, 0.500) and Ir at (0.500, 0.500, 0.269).

The crystal system is tetragonal. The calculation puts the total energy at -31.1 eV per formula unit. The value obtained for the formation energy from raw total energies is -0.33 eV per atom.

DFT (GGA-PBEsol) results for crystalline CuSiIr2 at its relaxed geometry.

The space group is P4mm (No. 99) and the conventional cell measures 2.925, 2.925 and 6.007 Å, with angles of 90.00, 90.00 and 90.00 degrees. The inequivalent atoms are Cu at (0.000, 0.000, 0.000), Si at (0.500, 0.500, 0.793), Ir at (0.000, 0.000, 0.563) and Ir at (0.500, 0.500, 0.243).

The crystal system is tetragonal. The calculation puts the total energy at -30.0 eV per formula unit. The value obtained for the formation energy from raw total energies is -0.06 eV per atom.

DFT (GGA-PBEsol) results for crystalline CuSiIr at its relaxed geometry.

The space group is Fmm2 (No. 42) and the conventional cell measures 2.779, 4.715 and 12.164 Å, with angles of 90.00, 90.00 and 90.00 degrees. The inequivalent atoms are Cu at (0.000, 0.000, 0.000), Si at (0.000, 0.000, 0.342) and Ir at (0.000, 0.000, 0.684).

The crystal system is orthorhombic. The calculation puts the total energy at -19.7 eV per formula unit. The value obtained for the formation energy from raw total energies is 0.06 eV per atom.

DFT (GGA-PBEsol) results for crystalline CuSi2Ir at its relaxed geometry.

The space group is Cm (No. 8) and the conventional cell measures 8.669, 2.825 and 4.232 Å, with angles of 90.00, 95.61 and 90.00 degrees. The inequivalent atoms are Cu at (0.000, 0.000, 0.000), Si at (0.248, 0.000, 0.819), Si at (0.488, 0.000, 0.509) and Ir at (0.254, 0.500, 0.323).

The crystal system is monoclinic. The calculation puts the total energy at -26.6 eV per formula unit. The value obtained for the formation energy from raw total energies is -0.23 eV per atom.

DFT (GGA-PBEsol) results for crystalline CuSi2Ir at its relaxed geometry.

The space group is Pmmm (No. 47) and the conventional cell measures 2.834, 4.007 and 4.678 Å, with angles of 90.00, 90.00 and 90.00 degrees. The inequivalent atoms are Cu at (0.000, 0.000, 0.000), Si at (0.000, 0.500, 0.500), Si at (0.500, 0.500, 0.000) and Ir at (0.500, 0.000, 0.500).

The crystal system is orthorhombic. The calculation puts the total energy at -25.6 eV per formula unit. The value obtained for the formation energy from raw total energies is 0.02 eV per atom.

DFT (GGA-PBEsol) results for crystalline Cu2SiTcIr at its relaxed geometry.

The space group is P4/mmm (No. 123) and the conventional cell measures 4.531, 4.531 and 4.594 Å, with angles of 90.00, 90.00 and 90.00 degrees. The inequivalent atoms are Cu at (0.000, 0.500, 0.000), Si at (0.000, 0.000, 0.500), Tc at (0.500, 0.500, 0.000) and Ir at (0.500, 0.500, 0.500).

The crystal system is tetragonal. The calculation puts the total energy at -27.2 eV per formula unit. The value obtained for the formation energy from raw total energies is 1.66 eV per atom.

DFT (GGA-PBEsol) results for crystalline Sm2CuIr at its relaxed geometry.

The space group is Fm-3m (No. 225) and the conventional cell measures 6.917, 6.917 and 6.917 Å, with angles of 90.00, 90.00 and 90.00 degrees. The inequivalent atoms are Sm at (0.250, 0.250, 0.250), Cu at (0.000, 0.000, 0.000) and Ir at (0.000, 0.000, 0.500).

The crystal system is cubic. The calculation puts the total energy at -26.1 eV per formula unit. For the formation energy, the calculation gives -443 meV per atom.

DFT (GGA-PBEsol) results for crystalline YCuSnIr2 at its relaxed geometry.

The space group is P4/mmm (No. 123) and the conventional cell measures 4.593, 4.593 and 4.661 Å, with angles of 90.00, 90.00 and 90.00 degrees. The inequivalent atoms are Y at (0.000, 0.000, 0.000), Cu at (0.000, 0.000, 0.500), Sn at (0.500, 0.500, 0.000) and Ir at (0.000, 0.500, 0.500).

The crystal system is tetragonal. The calculation puts the total energy at -32.4 eV per formula unit. For the formation energy, the calculation gives 528 meV per atom.

DFT (GGA-PBEsol) results for crystalline TaCuIr2 at its relaxed geometry.

The space group is P4/mmm (No. 123) and the conventional cell measures 3.972, 3.972 and 3.598 Å, with angles of 90.00, 90.00 and 90.00 degrees. The inequivalent atoms are Ta at (0.000, 0.000, 0.000), Cu at (0.500, 0.500, 0.000) and Ir at (0.000, 0.500, 0.500).

The crystal system is tetragonal. The calculation puts the total energy at -38.2 eV per formula unit. For the formation energy, the calculation gives -408 meV per atom.

DFT (GGA-PBEsol) results for crystalline TaCu4Ir at its relaxed geometry.

The space group is F-43m (No. 216) and the conventional cell measures 6.676, 6.676 and 6.676 Å, with angles of 90.00, 90.00 and 90.00 degrees. The inequivalent atoms are Ta at (0.000, 0.000, 0.000), Cu at (0.125, 0.125, 0.375) and Ir at (0.250, 0.250, 0.750).

The crystal system is cubic. The calculation puts the total energy at -40.6 eV per formula unit. For the formation energy, the calculation gives -148 meV per atom.

Short version: total magnetic moment = 0.00; 0.00; 0.00; 0.00; 0.00; 0.00; 0.00; 0.00; 0.00; 0.00; 0.00; 0.00 μB/f.u., in the order given.